Entry 1:
# CaZnRu

A crystal of CaZnRu relaxed with PBEsol (meta-GGA SCAN, the Alexandria database).

Lattice parameters (Å, degrees): 3.0638 3.0638 6.6450 90.00 90.00 120.00
Closest atoms and distances in Å follow each position.
Space group P3m1 (No. 156)
Symmetry-distinct sites (fractional):
Ca: 0.0000 0.0000 0.0000  3 Ru 2.82, 6 Ca 3.06, 3 Zn 3.14
Zn: 0.3333 0.6667 0.3907  3 Ru 2.57
Ru: 0.6667 0.3333 0.6704  3 Zn 2.57, 3 Ca 2.82

Total magnetic moment in μB/f.u.: 0.29
Energy in eV/f.u.: -56.71
ΔH_f (0 K) in eV per formula unit: 1.3


Entry 2:
# CaZn2Ru

A crystal of CaZn2Ru relaxed with PBEsol (meta-GGA SCAN, the Alexandria database).

Lattice parameters (Å, degrees): 6.3954 6.3954 6.3954 90.00 90.00 90.00
Closest atoms and distances in Å follow each position.
Space group Fm-3m (No. 225)
Symmetry-distinct sites (fractional):
Ca: 0.0000 0.0000 0.0000  8 Zn 2.77
Zn: 0.2500 0.2500 0.2500  4 Ca 2.77, 4 Ru 2.77
Ru: 0.0000 0.0000 0.5000  8 Zn 2.77

Total magnetic moment in μB/f.u.: 0.00
Energy in eV/f.u.: -71.47
ΔH_f (0 K) in eV per formula unit: 0.0


Entry 3:
# CaZrRu2

A crystal of CaZrRu2 relaxed with PBEsol (meta-GGA SCAN, the Alexandria database).

Lattice parameters (Å, degrees): 4.6141 4.6141 3.2426 90.00 90.00 90.00
Closest atoms and distances in Å follow each position.
Space group P4/mmm (No. 123)
Symmetry-distinct sites (fractional):
Ca: 0.0000 0.0000 0.0000  8 Ru 2.82
Zr: 0.5000 0.5000 0.0000  8 Ru 2.82
Ru: 0.0000 0.5000 0.5000  4 Zr 2.82, 4 Ca 2.82

Total magnetic moment in μB/f.u.: 0.00
Energy in eV/f.u.: -110.40
ΔH_f (0 K) in eV per formula unit: -0.4